Tm3Hg4Au2: optimized geometry, PBE.

## Properties
electronic total energy	-51.6	eV per cell
energy of formation	-516	meV/atom
space-group type	C2/c

a = 5.2879 Å, b = 9.0445 Å, c = 9.0445 Å
α = 77.73°, β = 82.11°, γ = 82.11°
Closest atoms and distances in Å follow each position.
Sites, in units of the cell vectors:
1 Tm 0.9216 0.0396 0.3024  8 Hg 3.05-3.33, 2 Au 3.05-3.10
2 Tm 0.5784 0.6976 0.9604  8 Hg 3.05-3.33, 2 Au 3.05-3.10
3 Tm 0.0784 0.9604 0.6976  8 Hg 3.05-3.33, 2 Au 3.05-3.10
4 Tm 0.4216 0.3024 0.0396  8 Hg 3.05-3.33, 2 Au 3.05-3.10
5 Tm 0.7500 0.6149 0.3851  6 Au 3.00-3.17, 4 Hg 3.03-3.30
6 Tm 0.2500 0.3851 0.6149  6 Au 3.00-3.17, 4 Hg 3.03-3.30
7 Hg 0.6332 0.8366 0.6004  5 Tm 3.03-3.24, 3 Au 3.04-3.20, 2 Hg 3.12-3.36
8 Hg 0.9752 0.1835 0.9296  4 Hg 3.06-3.28, 5 Tm 3.08-3.33, 1 Au 3.17
9 Hg 0.4752 0.9296 0.1835  4 Hg 3.06-3.28, 5 Tm 3.08-3.33, 1 Au 3.17
10 Hg 0.0248 0.8165 0.0704  4 Hg 3.06-3.28, 5 Tm 3.08-3.33, 1 Au 3.17
11 Hg 0.8668 0.3996 0.1634  5 Tm 3.03-3.24, 3 Au 3.04-3.20, 2 Hg 3.12-3.36
12 Hg 0.1332 0.6004 0.8366  5 Tm 3.03-3.24, 3 Au 3.04-3.20, 2 Hg 3.12-3.36
13 Hg 0.5248 0.0704 0.8165  4 Hg 3.06-3.28, 5 Tm 3.08-3.33, 1 Au 3.17
14 Hg 0.3668 0.1634 0.3996  5 Tm 3.03-3.24, 3 Au 3.04-3.20, 2 Hg 3.12-3.36
15 Au 0.1875 0.7391 0.4785  5 Tm 3.00-3.17, 1 Au 3.02, 4 Hg 3.04-3.20
16 Au 0.6875 0.4785 0.7391  5 Tm 3.00-3.17, 1 Au 3.02, 4 Hg 3.04-3.20
17 Au 0.8125 0.2609 0.5215  5 Tm 3.00-3.17, 1 Au 3.02, 4 Hg 3.04-3.20
18 Au 0.3125 0.5215 0.2609  5 Tm 3.00-3.17, 1 Au 3.02, 4 Hg 3.04-3.20

Tm3Hg2Au: optimized geometry, PBE.

## Properties
energy above the most stable polymorph in this dataset	0.0000	eV/atom
electronic total energy	-21.0	eV per cell
energy of formation	-621	meV/atom
space-group type	P4/mmm

a = 3.6218 Å, b = 3.6218 Å, c = 10.9854 Å
α = 90.00°, β = 90.00°, γ = 90.00°
Closest atoms and distances in Å follow each position.
Sites, in units of the cell vectors:
1 Hg 0.5000 0.5000 0.8326  8 Tm 3.15-3.21
2 Hg 0.5000 0.5000 0.1674  8 Tm 3.15-3.21
3 Au 0.5000 0.5000 0.5000  8 Tm 3.08
4 Tm 0.0000 0.0000 0.0000  8 Hg 3.15
5 Tm 0.0000 0.0000 0.3436  4 Au 3.08, 4 Hg 3.21, 1 Tm 3.44
6 Tm 0.0000 0.0000 0.6564  4 Au 3.08, 4 Hg 3.21, 1 Tm 3.44

Tm8HgAu2: optimized geometry, PBE.

## Properties
electronic total energy	-47.2	eV per cell
energy of formation	-414	meV/atom
space-group type	C2/m

a = 5.0351 Å, b = 6.9361 Å, c = 9.1857 Å
α = 105.98°, β = 105.91°, γ = 90.00°
Closest atoms and distances in Å follow each position.
Sites, in units of the cell vectors:
1 Tm 0.5929 0.4633 0.1858  1 Hg 3.16, 2 Au 3.24, 7 Tm 3.40-3.53
2 Tm 0.7997 0.6786 0.5994  1 Au 2.84
3 Tm 0.9686 0.2308 0.9371  1 Au 2.84, 2 Hg 3.12
4 Tm 0.0314 0.7692 0.0629  1 Au 2.84, 2 Hg 3.12
5 Tm 0.6705 0.9720 0.3411  3 Au 2.82-3.13, 1 Hg 3.07
6 Tm 0.4071 0.5367 0.8142  1 Hg 3.16, 2 Au 3.24, 7 Tm 3.40-3.53
7 Tm 0.3295 0.0280 0.6589  3 Au 2.82-3.13, 1 Hg 3.07
8 Tm 0.2003 0.3214 0.4006  1 Au 2.84
9 Au 0.8147 0.2819 0.6293  5 Tm 2.82-3.13
10 Au 0.1853 0.7181 0.3707  5 Tm 2.82-3.13
11 Hg 0.5000 0.0000 0.0000  8 Tm 3.07-3.16

Tm3HgAu: optimized geometry, PBE.

## Properties
electronic total energy	-38.6	eV per cell
energy of formation	-458	meV/atom
space-group type	Pmmn

a = 4.7000 Å, b = 6.8085 Å, c = 8.4465 Å
α = 90.00°, β = 90.00°, γ = 90.00°
Closest atoms and distances in Å follow each position.
Sites, in units of the cell vectors:
1 Tm 0.7500 0.9971 0.6766  3 Au 2.89-2.98, 2 Hg 3.16
2 Tm 0.2500 0.4971 0.3234  3 Au 2.89-2.98, 2 Hg 3.16
3 Tm 0.7500 0.5029 0.6766  3 Au 2.89-2.98, 2 Hg 3.16
4 Tm 0.2500 0.2500 0.9482  1 Au 2.92, 2 Hg 3.02
5 Tm 0.7500 0.7500 0.0518  1 Au 2.92, 2 Hg 3.02
6 Tm 0.2500 0.0029 0.3234  3 Au 2.89-2.98, 2 Hg 3.16
7 Hg 0.7500 0.2500 0.1719  6 Tm 3.02-3.16
8 Hg 0.2500 0.7500 0.8281  6 Tm 3.02-3.16
9 Au 0.7500 0.7500 0.3980  7 Tm 2.89-2.98
10 Au 0.2500 0.2500 0.6020  7 Tm 2.89-2.98

Tm4HgAu3: optimized geometry, PBE.

## Properties
energy above the most stable polymorph in this dataset	0.0000	eV/atom
electronic total energy	-34.3	eV per cell
energy of formation	-782	meV/atom
space-group type	Pmmm

a = 3.5930 Å, b = 5.0646 Å, c = 10.1190 Å
α = 90.00°, β = 90.00°, γ = 90.00°
Closest atoms and distances in Å follow each position.
Sites, in units of the cell vectors:
1 Tm 0.0000 0.5000 0.7419  6 Au 3.04-3.11, 2 Hg 3.17
2 Tm 0.0000 0.0000 0.5000  8 Au 3.10-3.13
3 Tm 0.0000 0.0000 0.0000  4 Au 3.07, 4 Hg 3.10
4 Tm 0.0000 0.5000 0.2581  6 Au 3.04-3.11, 2 Hg 3.17
5 Hg 0.5000 0.5000 0.0000  8 Tm 3.10-3.17
6 Au 0.5000 0.5000 0.5000  8 Tm 3.04-3.10
7 Au 0.5000 0.0000 0.7537  8 Tm 3.07-3.13
8 Au 0.5000 0.0000 0.2463  8 Tm 3.07-3.13

Tm8Hg2Au: optimized geometry, PBE.

## Properties
electronic total energy	-43.0	eV per cell
energy of formation	-307	meV/atom
space-group type	C2/m

a = 5.0904 Å, b = 6.7988 Å, c = 9.2481 Å
α = 102.50°, β = 105.97°, γ = 90.00°
Closest atoms and distances in Å follow each position.
Sites, in units of the cell vectors:
1 Tm 0.0237 0.7679 0.0473  1 Hg 3.00, 2 Au 3.07
2 Tm 0.3402 0.0297 0.6805  1 Au 2.89, 3 Hg 2.96-3.11
3 Tm 0.6598 0.9703 0.3195  1 Au 2.89, 3 Hg 2.96-3.11
4 Tm 0.4097 0.5502 0.8194  1 Au 3.12, 6 Tm 3.38-3.48, 2 Hg 3.44
5 Tm 0.7971 0.6818 0.5942  1 Hg 2.90
6 Tm 0.2029 0.3182 0.4058  1 Hg 2.90
7 Tm 0.9763 0.2321 0.9527  1 Hg 3.00, 2 Au 3.07
8 Tm 0.5903 0.4498 0.1806  1 Au 3.12, 6 Tm 3.38-3.48, 2 Hg 3.44
9 Hg 0.8107 0.2641 0.6214  5 Tm 2.90-3.11
10 Hg 0.1893 0.7359 0.3786  5 Tm 2.90-3.11
11 Au 0.5000 0.0000 0.0000  8 Tm 2.89-3.12

- What is the energy of formation in the second record?
  -621 meV/atom

- The lowest energy of formation belongs to which entry?
  Tm4HgAu3